[1]
Material: La2Pm3Ho7
Method: DFT, PBE-GGA
State: relaxed

V ... 33.30 Å³/atom
E_form ... 0.09 eV per atom
Total energy ... -55.0 eV per formula unit

abc: 5.859 3.595 19.004
angles: 90.00 93.18 90.00
Space group P2/m (No. 10)
Symmetry-distinct sites (fractional):
La 0.207 0.000 0.292 (multiplicity 2)
Pm 0.000 0.000 0.000 (multiplicity 1)
Pm 0.278 0.500 0.629 (multiplicity 2)
Ho 0.188 0.500 0.141 (multiplicity 2)
Ho 0.242 0.000 0.462 (multiplicity 2)
Ho 0.310 0.000 0.830 (multiplicity 2)
Ho 0.500 0.500 0.000 (multiplicity 1)

---

[2]
Material: LaPm5Ho
Method: DFT, PBE-GGA
State: relaxed

V ... 44.80 Å³/atom
E_form ... 0.89 eV per atom
Total energy ... -27.0 eV per formula unit

abc: 11.777 8.985 5.927
angles: 90.00 90.06 90.00
Space group C2/m (No. 12)
Symmetry-distinct sites (fractional):
La 0.000 0.000 0.000 (multiplicity 2)
Pm 0.000 0.000 0.500 (multiplicity 2)
Pm 0.000 0.315 0.000 (multiplicity 4)
Pm 0.247 0.500 0.999 (multiplicity 4)
Ho 0.000 0.500 0.500 (multiplicity 2)

---

[3]
Material: La5PmHo2
Method: DFT, PBE-GGA
State: relaxed

V ... 35.72 Å³/atom
E_form ... 0.13 eV per atom
Total energy ... -37.5 eV per formula unit

abc: 16.981 10.177 6.741
angles: 90.00 101.16 90.00
Space group C2/c (No. 15)
Symmetry-distinct sites (fractional):
La 0.000 0.060 0.250 (multiplicity 4)
La 0.092 0.404 0.150 (multiplicity 8)
La 0.206 0.086 0.026 (multiplicity 8)
Pm 0.250 0.250 0.500 (multiplicity 4)
Ho 0.082 0.256 0.647 (multiplicity 8)